[1]
The following is a PBE-GGA calculation of a geometry-optimized Tb3TmRu2 structure, from the Alexandria database.

Energy relative to the lowest polymorph listed for this composition ... 0 meV per atom
Energy of formation from the pure elements ... -0.336 eV per atom
SG ... Cmcm
DOS(E_F) ... 0.819 states/eV/atom
Spin magnetization ... 0.0000 μB/atom
Energy ... -6.489 eV per atom

Cell lengths 6.3394, 6.7747, 6.7747 Å; angles 90.11, 90.00, 90.00 degrees
With the nearest neighbours (Å) after each atom.
Element x y z (fractional)
Tb  0.7500  0.0693  0.9307  4 Ru 2.97
Tb  0.2500  0.0673  0.5686  4 Ru 2.95
Tb  0.7500  0.5686  0.0673  4 Ru 2.95
Tb  0.2500  0.9307  0.0693  4 Ru 2.97
Tb  0.7500  0.9326  0.4314  4 Ru 2.95
Tb  0.2500  0.4314  0.9326  4 Ru 2.95
Ru  0.0000  0.2531  0.2531  2 Tm 2.92, 6 Tb 2.95-2.97, 2 Ru 3.17
Ru  0.5000  0.7469  0.7469  2 Tm 2.92, 6 Tb 2.95-2.97, 2 Ru 3.17
Ru  0.0000  0.7469  0.7469  2 Tm 2.92, 6 Tb 2.95-2.97, 2 Ru 3.17
Ru  0.5000  0.2531  0.2531  2 Tm 2.92, 6 Tb 2.95-2.97, 2 Ru 3.17
Tm  0.7500  0.4336  0.5664  4 Ru 2.92
Tm  0.2500  0.5664  0.4336  4 Ru 2.92

***

[2]
The following is a PBE-GGA calculation of a geometry-optimized TbTmRu structure, from the Alexandria database.

Energy relative to the lowest polymorph listed for this composition ... 63 meV per atom
Energy of formation from the pure elements ... -0.306 eV per atom
SG ... Fddd
DOS(E_F) ... 0.425 states/eV/atom
Spin magnetization ... 0.0000 μB/atom
Energy ... -6.432 eV per atom

Cell lengths 6.7243, 6.7243, 8.2428 Å; angles 114.12, 114.12, 89.90 degrees
With the nearest neighbours (Å) after each atom.
Element x y z (fractional)
Ru  0.2894  0.2145  0.0000  4 Tm 2.89-2.92, 4 Tb 2.90-2.94
Ru  0.0355  0.4606  0.5000  4 Tm 2.89-2.92, 4 Tb 2.90-2.94
Ru  0.7855  0.7106  0.0000  4 Tm 2.89-2.92, 4 Tb 2.90-2.94
Ru  0.5394  0.9645  0.5000  4 Tm 2.89-2.92, 4 Tb 2.90-2.94
Tb  0.1636  0.0887  0.2523  4 Ru 2.90-2.94
Tb  0.4136  0.8387  0.7523  4 Ru 2.90-2.94
Tb  0.9113  0.8364  0.7477  4 Ru 2.90-2.94
Tb  0.1613  0.5864  0.2477  4 Ru 2.90-2.94
Tm  0.6636  0.0886  0.2522  4 Ru 2.89-2.92
Tm  0.6614  0.5864  0.2478  4 Ru 2.89-2.92
Tm  0.9114  0.3364  0.7478  4 Ru 2.89-2.92
Tm  0.4136  0.3386  0.7522  4 Ru 2.89-2.92

***

[3]
The following is a PBE-GGA calculation of a geometry-optimized TbTm2Ru structure, from the Alexandria database.

Energy relative to the lowest polymorph listed for this composition ... 83 meV per atom
Energy of formation from the pure elements ... -0.270 eV per atom
SG ... P4/mmm
DOS(E_F) ... 0.748 states/eV/atom
Spin magnetization ... 0.0000 μB/atom
Energy ... -5.982 eV per atom

Cell lengths 3.3966, 3.3966, 8.7895 Å; angles 90.00, 90.00, 90.00 degrees
With the nearest neighbours (Å) after each atom.
Element x y z (fractional)
Tm  0.0000  0.0000  0.1839  4 Ru 2.89, 1 Tm 3.23
Tm  0.0000  0.0000  0.8161  4 Ru 2.89, 1 Tm 3.23
Tb  0.5000  0.5000  0.5000  4 Tb 3.40, 8 Tm 3.67
Ru  0.5000  0.5000  0.0000  8 Tm 2.89

***

[4]
The following is a PBE-GGA calculation of a geometry-optimized TbTm3Ru3 structure, from the Alexandria database.

Energy relative to the lowest polymorph listed for this composition ... 0 meV per atom
Energy of formation from the pure elements ... -0.416 eV per atom
SG ... R3m
DOS(E_F) ... 0.384 states/eV/atom
Spin magnetization ... 0.0000 μB/atom
Energy ... -6.969 eV per atom

Cell lengths 5.7896, 5.7618, 5.7896 Å; angles 109.37, 109.57, 109.37 degrees
With the nearest neighbours (Å) after each atom.
Element x y z (fractional)
Ru  0.4994  0.0040  0.4994  4 Tm 2.76-3.07, 1 Tb 2.77
Ru  0.5006  0.5046  0.0000  4 Tm 2.76-3.07, 1 Tb 2.77
Ru  0.0000  0.5046  0.5006  4 Tm 2.76-3.07, 1 Tb 2.77
Tm  0.4148  0.0033  0.0000  4 Ru 2.76-3.07
Tm  0.0000  0.0033  0.4148  4 Ru 2.76-3.07
Tm  0.5852  0.5885  0.5852  4 Ru 2.76-3.07
Tb  0.0000  0.4167  0.0000  6 Ru 2.77-3.10

***

[5]
The following is a PBE-GGA calculation of a geometry-optimized Tb4TmRu5 structure, from the Alexandria database.

Energy of formation from the pure elements ... -0.313 eV per atom
SG ... P4/mmm
DOS(E_F) ... 1.252 states/eV/atom
Spin magnetization ... 0.0000 μB/atom
Energy ... -7.250 eV per atom

Cell lengths 3.4039, 3.4039, 16.9757 Å; angles 90.00, 90.00, 90.00 degrees
With the nearest neighbours (Å) after each atom.
Element x y z (fractional)
Tb  0.0000  0.0000  0.3994  8 Ru 2.95
Tb  0.0000  0.0000  0.1981  8 Ru 2.95
Tb  0.0000  0.0000  0.6006  8 Ru 2.95
Tb  0.0000  0.0000  0.8019  8 Ru 2.95
Ru  0.5000  0.5000  0.5000  8 Tb 2.95
Ru  0.5000  0.5000  0.9024  4 Tm 2.92, 4 Tb 2.95
Ru  0.5000  0.5000  0.0976  4 Tm 2.92, 4 Tb 2.95
Ru  0.5000  0.5000  0.7013  8 Tb 2.95
Ru  0.5000  0.5000  0.2987  8 Tb 2.95
Tm  0.0000  0.0000  0.0000  8 Ru 2.92

***

[6]
The following is a PBE-GGA calculation of a geometry-optimized Tb2Tm6Ru structure, from the Alexandria database.

Energy of formation from the pure elements ... -0.074 eV per atom
SG ... P2/m
DOS(E_F) ... 1.334 states/eV/atom
Spin magnetization ... 0.0000 μB/atom
Energy ... -5.115 eV per atom

Cell lengths 3.6191, 8.5398, 12.5139 Å; angles 136.62, 90.00, 90.00 degrees
With the nearest neighbours (Å) after each atom.
Element x y z (fractional)
Ru  0.0000  0.0000  0.0000  6 Tm 2.62-2.70
Tb  0.5000  0.7667  0.4682  9 Tm 3.44-3.67, 3 Tb 3.45-3.62
Tb  0.5000  0.2333  0.5318  9 Tm 3.44-3.67, 3 Tb 3.45-3.62
Tm  0.0000  0.2294  0.7846  4 Tb 3.44-3.67, 8 Tm 3.49-3.77
Tm  0.0000  0.2595  0.2993  1 Ru 2.62
Tm  0.5000  0.2842  0.0513  2 Ru 2.70
Tm  0.5000  0.7158  0.9487  2 Ru 2.70
Tm  0.0000  0.7405  0.7007  1 Ru 2.62
Tm  0.0000  0.7706  0.2154  4 Tb 3.44-3.67, 8 Tm 3.49-3.77

***

[7]
The following is a PBE-GGA calculation of a geometry-optimized TbTmRu structure, from the Alexandria database.

Energy relative to the lowest polymorph listed for this composition ... 6 meV per atom
Energy of formation from the pure elements ... -0.363 eV per atom
SG ... I4mm
DOS(E_F) ... 0.466 states/eV/atom
Spin magnetization ... 0.0000 μB/atom
Energy ... -6.489 eV per atom

Cell lengths 3.3865, 3.3865, 6.8813 Å; angles 104.24, 104.24, 90.00 degrees
With the nearest neighbours (Å) after each atom.
Element x y z (fractional)
Tm  0.2927  0.2927  0.5853  4 Ru 2.88
Ru  0.6689  0.6689  0.3378  4 Tm 2.88, 4 Tb 2.93
Tb  0.0384  0.0384  0.0769  4 Ru 2.93

***

[8]
The following is a PBE-GGA calculation of a geometry-optimized Tb3Tm2Ru2 structure, from the Alexandria database.

Energy of formation from the pure elements ... -0.336 eV per atom
SG ... C2/m
DOS(E_F) ... 0.768 states/eV/atom
Spin magnetization ... 0.0000 μB/atom
Energy ... -6.249 eV per atom

Cell lengths 3.8847, 6.2484, 8.3923 Å; angles 112.00, 90.00, 108.11 degrees
With the nearest neighbours (Å) after each atom.
Element x y z (fractional)
Tb  0.6208  0.2417  0.4303  3 Ru 2.90-2.96
Tb  0.5000  0.0000  0.0000  4 Ru 2.94
Tb  0.3792  0.7583  0.5697  3 Ru 2.90-2.96
Tm  0.1670  0.3340  0.8153  2 Ru 2.75
Tm  0.8330  0.6660  0.1847  2 Ru 2.75
Ru  0.1805  0.3611  0.2196  2 Tm 2.75, 5 Tb 2.90-2.96
Ru  0.8195  0.6389  0.7804  2 Tm 2.75, 5 Tb 2.90-2.96

***

[9]
The following is a PBE-GGA calculation of a geometry-optimized Tb2TmRu3 structure, from the Alexandria database.

Energy relative to the lowest polymorph listed for this composition ... 4 meV per atom
Energy of formation from the pure elements ... -0.330 eV per atom
SG ... Cmmm
DOS(E_F) ... 1.084 states/eV/atom
Spin magnetization ... 0.0000 μB/atom
Energy ... -7.257 eV per atom

Cell lengths 3.4041, 4.7867, 7.5822 Å; angles 108.40, 90.00, 90.00 degrees
With the nearest neighbours (Å) after each atom.
Element x y z (fractional)
Tm  0.0000  0.0000  0.0000  8 Ru 2.92-2.94
Tb  0.0000  0.3343  0.6687  8 Ru 2.93-2.97
Tb  0.0000  0.6657  0.3313  8 Ru 2.93-2.97
Ru  0.5000  0.1649  0.3298  2 Tm 2.92, 6 Tb 2.94-2.97
Ru  0.5000  0.8351  0.6702  2 Tm 2.92, 6 Tb 2.94-2.97
Ru  0.5000  0.5000  0.0000  4 Tb 2.93, 4 Tm 2.94

***

[10]
The following is a PBE-GGA calculation of a geometry-optimized Tb3TmRu2 structure, from the Alexandria database.

Energy relative to the lowest polymorph listed for this composition ... 100 meV per atom
Energy of formation from the pure elements ... -0.236 eV per atom
SG ... Ibam
DOS(E_F) ... 0.365 states/eV/atom
Spin magnetization ... 0.0000 μB/atom
Energy ... -6.389 eV per atom

Cell lengths 6.7006, 7.0416, 8.3105 Å; angles 115.07, 113.77, 90.00 degrees
With the nearest neighbours (Å) after each atom.
Element x y z (fractional)
Ru  0.4123  0.6344  0.2687  1 Tm 2.60, 2 Tb 2.89
Ru  0.8564  0.1344  0.2687  1 Tm 2.60, 2 Tb 2.89
Ru  0.5877  0.3656  0.7313  1 Tm 2.60, 2 Tb 2.89
Ru  0.1436  0.8656  0.7313  1 Tm 2.60, 2 Tb 2.89
Tb  0.7666  0.0166  0.5332  4 Ru 2.89-2.91
Tb  0.7666  0.5166  0.5332  4 Ru 2.89-2.91
Tb  0.2334  0.4834  0.4668  4 Ru 2.89-2.91
Tb  0.5000  0.7500  0.0000  4 Ru 2.93
Tb  0.2334  0.9834  0.4668  4 Ru 2.89-2.91
Tb  0.5000  0.2500  0.0000  4 Ru 2.93
Tm  0.0000  0.5000  0.0000  2 Ru 2.60
Tm  0.0000  0.0000  0.0000  2 Ru 2.60

***

[11]
The following is a PBE-GGA calculation of a geometry-optimized TbTm3Ru structure, from the Alexandria database.

Energy relative to the lowest polymorph listed for this composition ... 126 meV per atom
Energy of formation from the pure elements ... -0.095 eV per atom
SG ... Pm-3m
DOS(E_F) ... 1.432 states/eV/atom
Spin magnetization ... 0.0008 μB/atom
Energy ... -5.560 eV per atom

Cell lengths 5.3165, 5.3165, 5.3165 Å; angles 90.00, 90.00, 90.00 degrees
With the nearest neighbours (Å) after each atom.
Element x y z (fractional)
Tb  0.5000  0.5000  0.5000  12 Tm 3.76
Tm  0.0000  0.0000  0.5000  2 Ru 2.66
Tm  0.5000  0.0000  0.0000  2 Ru 2.66
Tm  0.0000  0.5000  0.0000  2 Ru 2.66
Ru  0.0000  0.0000  0.0000  6 Tm 2.66

***

Q: DOS(E_F) of number 3 (TbTm2Ru)?
A: 0.748 states/eV/atom